Material: LiCdBr2
Method: DFT, GGA-PBEsol
State: optimized geometry

- volume (Å³/atom) = 25.8
- total DFT energy (no corrections) (eV for the cell shown) = -10.30
- size of the total moment (μB/f.u.) = 0.00
- space group = Pmm2, No. 25

Cell: 4.1714 5.8059 4.2660 Å, 90.00 90.00 90.00°
Last column: nearest neighbours and their distance in Å.
Fractional positions:
Li  0.0000  0.0000  0.0000  4 Br 2.64-2.93
Cd  0.5000  0.5000  0.4064  6 Br 2.91-3.00
Br  0.0000  0.5000  0.9025  2 Li 2.93, 4 Cd 2.97-3.00
Br  0.5000  0.0000  0.3800  2 Li 2.64, 2 Cd 2.91



Material: Li3Tl2Cd
Method: DFT, GGA-PBEsol
State: optimized geometry

- calculated formation energy (eV per atom) = -0.27
- volume (Å³/atom) = 19.0
- size of the total moment (μB/f.u.) = 0.00
- space group = P4/mmm, No. 123

Cell: 3.3773 3.3773 9.9789 Å, 90.00 90.00 90.00°
Last column: nearest neighbours and their distance in Å.
Fractional positions:
Li  0.0000  0.0000  0.0000  8 Tl 2.94
Li  0.0000  0.0000  0.3390  4 Cd 2.88, 4 Tl 2.91, 1 Li 3.21
Li  0.0000  0.0000  0.6610  4 Cd 2.88, 4 Tl 2.91, 1 Li 3.21
Tl  0.5000  0.5000  0.1725  8 Li 2.91-2.94
Tl  0.5000  0.5000  0.8275  8 Li 2.91-2.94
Cd  0.5000  0.5000  0.5000  8 Li 2.88



Material: MgTe3Br
Method: DFT, GGA-PBEsol
State: optimized geometry

- volume (Å³/atom) = 30.5
- total DFT energy (no corrections) (eV for the cell shown) = -12.94
- size of the total moment (μB/f.u.) = 0.00
- space group = Pm-3m, No. 221

Cell: 5.3443 5.3443 5.3443 Å, 90.00 90.00 90.00°
Last column: nearest neighbours and their distance in Å.
Fractional positions:
Mg  0.0000  0.0000  0.0000  6 Te 2.67
Te  0.0000  0.0000  0.5000  2 Mg 2.67
Te  0.0000  0.5000  0.0000  2 Mg 2.67
Te  0.5000  0.0000  0.0000  2 Mg 2.67
Br  0.5000  0.5000  0.5000  12 Te 3.78



Material: InWNF2
Method: DFT, GGA-PBEsol
State: optimized geometry

- volume (Å³/atom) = 14.0
- total DFT energy (no corrections) (eV for the cell shown) = -33.53
- size of the total moment (μB/f.u.) = 0.10
- space group = P4/mmm, No. 123

Cell: 4.2383 4.2383 3.9063 Å, 90.00 90.00 90.00°
Last column: nearest neighbours and their distance in Å.
Fractional positions:
In  0.0000  0.0000  0.0000  8 F 2.88, 4 N 3.00
W  0.5000  0.5000  0.5000  2 N 1.95, 4 F 2.12
N  0.5000  0.5000  0.0000  2 W 1.95
F  0.0000  0.5000  0.5000  2 W 2.12
F  0.5000  0.0000  0.5000  2 W 2.12



Material: KZrP2Cl
Method: DFT, GGA-PBEsol
State: optimized geometry

- volume (Å³/atom) = 26.1
- total DFT energy (no corrections) (eV for the cell shown) = -27.09
- size of the total moment (μB/f.u.) = 0.00
- space group = P4/mmm, No. 123

Cell: 4.9819 4.9819 5.2668 Å, 90.00 90.00 90.00°
Last column: nearest neighbours and their distance in Å.
Fractional positions:
K  0.0000  0.0000  0.0000  4 Cl 3.52, 8 P 3.62
Zr  0.5000  0.5000  0.5000  4 P 2.49, 2 Cl 2.63
P  0.0000  0.5000  0.5000  2 Zr 2.49
P  0.5000  0.0000  0.5000  2 Zr 2.49
Cl  0.5000  0.5000  0.0000  2 Zr 2.63



Material: MgAlP3
Method: DFT, GGA-PBEsol
State: optimized geometry

- calculated formation energy (eV per atom) = 0.48
- volume (Å³/atom) = 19.8
- size of the total moment (μB/f.u.) = 0.00
- space group = Pm-3m, No. 221

Cell: 4.6225 4.6225 4.6225 Å, 90.00 90.00 90.00°
Last column: nearest neighbours and their distance in Å.
Fractional positions:
Mg  0.0000  0.0000  0.0000  12 P 3.27
Al  0.5000  0.5000  0.5000  6 P 2.31
P  0.0000  0.5000  0.5000  2 Al 2.31
P  0.5000  0.0000  0.5000  2 Al 2.31
P  0.5000  0.5000  0.0000  2 Al 2.31



Material: LaNi2Ag2
Method: DFT, GGA-PBEsol
State: optimized geometry

- calculated formation energy (eV per atom) = -0.14
- volume (Å³/atom) = 17.7
- size of the total moment (μB/f.u.) = 0.00
- space group = I4/mmm, No. 139

Cell: 3.9456 3.9456 11.3790 Å, 90.00 90.00 90.00°
Last column: nearest neighbours and their distance in Å.
Fractional positions:
La  0.0000  0.0000  0.0000  8 Ni 3.01
La  0.5000  0.5000  0.5000  8 Ni 3.01
Ni  0.0000  0.0000  0.4012  1 Ni 2.25
Ni  0.0000  0.0000  0.5988  1 Ni 2.25
Ni  0.5000  0.5000  0.0988  1 Ni 2.25
Ni  0.5000  0.5000  0.9012  1 Ni 2.25
Ag  0.0000  0.5000  0.2500  4 Ni 2.62, 4 Ag 2.79
Ag  0.0000  0.5000  0.7500  4 Ni 2.62, 4 Ag 2.79
Ag  0.5000  0.0000  0.2500  4 Ni 2.62, 4 Ag 2.79
Ag  0.5000  0.0000  0.7500  4 Ni 2.62, 4 Ag 2.79



Material: Y2MgP
Method: DFT, GGA-PBEsol
State: optimized geometry

- calculated formation energy (eV per atom) = -0.72
- volume (Å³/atom) = 23.0
- size of the total moment (μB/f.u.) = 0.00
- space group = Amm2, No. 38

Cell: 3.9919 4.1582 11.0615 Å, 90.00 90.00 90.00°
Last column: nearest neighbours and their distance in Å.
Fractional positions:
Y  0.0000  0.0000  0.0000  4 P 2.95, 3 Mg 3.14-3.18
Y  0.0000  0.5000  0.5000  4 P 2.95, 3 Mg 3.14-3.18
Y  0.5000  0.0000  0.2948  1 P 2.92, 4 Mg 3.02
Y  0.5000  0.5000  0.7948  1 P 2.92, 4 Mg 3.02
Mg  0.0000  0.0000  0.7128  2 P 2.63
Mg  0.0000  0.5000  0.2128  2 P 2.63
P  0.5000  0.0000  0.5585  2 Mg 2.63, 1 Y 2.92
P  0.5000  0.5000  0.0585  2 Mg 2.63, 1 Y 2.92



Material: LaNiCl2
Method: DFT, GGA-PBEsol
State: optimized geometry

- volume (Å³/atom) = 23.2
- total DFT energy (no corrections) (eV for the cell shown) = -59.96
- size of the total moment (μB/f.u.) = 0.98
- space group = R3m, No. 160

Cell: 4.0158 4.0158 19.9441 Å, 90.00 90.00 120.00°
Last column: nearest neighbours and their distance in Å.
Fractional positions:
La  0.0000  0.0000  0.0000  3 Ni 2.75, 6 Cl 2.92-3.06
La  0.3333  0.6667  0.6667  3 Ni 2.75, 6 Cl 2.92-3.06
La  0.6667  0.3333  0.3333  3 Ni 2.75, 6 Cl 2.92-3.06
Ni  0.0000  0.0000  0.7410  3 Cl 2.38
Ni  0.3333  0.6667  0.4077  3 Cl 2.38
Ni  0.6667  0.3333  0.0744  3 Cl 2.38
Cl  0.0000  0.0000  0.2443  3 La 2.92
Cl  0.0000  0.0000  0.4337  3 Ni 2.38
Cl  0.3333  0.6667  0.1004  3 Ni 2.38
Cl  0.3333  0.6667  0.9110  3 La 2.92
Cl  0.6667  0.3333  0.5776  3 La 2.92
Cl  0.6667  0.3333  0.7671  3 Ni 2.38



Material: Ba3TeF
Method: DFT, GGA-PBEsol
State: optimized geometry

- volume (Å³/atom) = 31.1
- total DFT energy (no corrections) (eV for the cell shown) = -19.50
- size of the total moment (μB/f.u.) = 0.02
- space group = Pm-3m, No. 221

Cell: 5.3754 5.3754 5.3754 Å, 90.00 90.00 90.00°
Last column: nearest neighbours and their distance in Å.
Fractional positions:
Ba  0.0000  0.0000  0.5000  2 F 2.69
Ba  0.0000  0.5000  0.0000  2 F 2.69
Ba  0.5000  0.0000  0.0000  2 F 2.69
Te  0.5000  0.5000  0.5000  12 Ba 3.80
F  0.0000  0.0000  0.0000  6 Ba 2.69



Material: KHgCl2
Method: DFT, GGA-PBEsol
State: optimized geometry

- volume (Å³/atom) = 26.5
- total DFT energy (no corrections) (eV for the cell shown) = -19.09
- size of the total moment (μB/f.u.) = 0.00
- space group = I-4m2, No. 119

Cell: 4.1038 4.1038 12.5997 Å, 90.00 90.00 90.00°
Last column: nearest neighbours and their distance in Å.
Fractional positions:
K  0.0000  0.0000  0.0000  4 Cl 2.90
K  0.5000  0.5000  0.5000  4 Cl 2.90
Hg  0.0000  0.5000  0.7500  4 Cl 2.90
Hg  0.5000  0.0000  0.2500  4 Cl 2.90
Cl  0.0000  0.0000  0.5000  4 K 2.90
Cl  0.0000  0.5000  0.2500  4 Hg 2.90
Cl  0.5000  0.0000  0.7500  4 Hg 2.90
Cl  0.5000  0.5000  0.0000  4 K 2.90



Material: KAuSe2
Method: DFT, GGA-PBEsol
State: optimized geometry

- volume (Å³/atom) = 27.0
- total DFT energy (no corrections) (eV for the cell shown) = -29.42
- size of the total moment (μB/f.u.) = 0.00
- space group = Immm, No. 71

Cell: 3.8014 6.1294 9.2555 Å, 90.00 90.00 90.00°
Last column: nearest neighbours and their distance in Å.
Fractional positions:
K  0.0000  0.0000  0.0000  8 Se 3.46-3.58, 4 Au 3.61, 2 K 3.80
K  0.5000  0.5000  0.5000  8 Se 3.46-3.58, 4 Au 3.61, 2 K 3.80
Au  0.0000  0.0000  0.5000  4 Se 2.48
Au  0.5000  0.5000  0.0000  4 Se 2.48
Se  0.0000  0.5000  0.1726  2 Au 2.48
Se  0.0000  0.5000  0.8274  2 Au 2.48
Se  0.5000  0.0000  0.3274  2 Au 2.48
Se  0.5000  0.0000  0.6726  2 Au 2.48